DFT (GGA-PBEsol) results for a relaxed structure of BeAsBr2O.

Calculated values
Electronic total energy = -15.0 eV per formula unit
Raw formation energy = 0.6261 eV/atom
Space group = No. 123
ρ = 4.52 g/cm3

a = 4.5553 Å, b = 4.5553 Å, c = 4.6032 Å
α = 90.00°, β = 90.00°, γ = 90.00°
Sites, in units of the cell vectors:
Be 0.0000 0.0000 0.0000
As 0.0000 0.0000 0.5000
Br 0.0000 0.5000 0.0000
Br 0.5000 0.0000 0.0000
O 0.5000 0.5000 0.5000